Ni2CSeS after structural relaxation. Source: the Open Quantum Materials Database, functional GGA-PBE.

abc: 3.0777 3.0777 8.8410
angles: 90.00 90.00 120.00
Positions (direct):
1 Ni 0.3333 0.6667 0.8943
2 Ni 0.6667 0.3333 0.1191
3 S 0.3333 0.6667 0.2834
4 Se 0.6667 0.3333 0.6971
5 C 0.0000 0.0000 0.0061

Output
- magnetization (μB per formula unit) = 0.00

=====

SrFeHgS3 after structural relaxation. Source: the Open Quantum Materials Database, functional GGA-PBE.

abc: 7.4189 7.4189 11.3209
angles: 90.00 90.00 28.65
Positions (direct):
1 Sr 0.1794 0.1794 0.7500
2 Sr 0.8206 0.8206 0.2500
3 S 0.8327 0.8327 0.7500
4 S 0.5813 0.5813 0.5770
5 S 0.4187 0.4187 0.4230
6 S 0.4187 0.4187 0.0770
7 S 0.1673 0.1673 0.2500
8 S 0.5813 0.5813 0.9230
9 Hg 0.5474 0.5474 0.2500
10 Hg 0.4526 0.4526 0.7500
11 Fe 0.0000 0.0000 0.0000
12 Fe 0.0000 0.0000 0.5000

Output
- magnetization (μB per formula unit) = 2.03

=====

GaCuTeS after structural relaxation. Source: the Open Quantum Materials Database, functional GGA-PBE.

abc: 5.7149 5.7149 6.8944
angles: 114.03 114.03 89.99
Positions (direct):
1 Te 0.8838 0.1229 0.7495
2 Te 0.1229 0.8838 0.2495
3 Ga 0.4980 0.7101 0.5003
4 Ga 0.7101 0.4980 0.0003
5 Cu 0.2970 0.9986 0.9996
6 Cu 0.9986 0.2970 0.4996
7 S 0.6224 0.3672 0.2505
8 S 0.3672 0.6224 0.7505

=====

TaTlCdFe after structural relaxation. Source: the Open Quantum Materials Database, functional GGA-PBE.

abc: 5.3226 5.3226 5.3226
angles: 60.00 60.00 60.00
Positions (direct):
1 Ta 0.2500 0.2500 0.2500
2 Cd 0.5000 0.5000 0.5000
3 Fe 0.7500 0.7500 0.7500
4 Tl 0.0000 0.0000 0.0000

Output
- magnetization (μB per formula unit) = 3.27

=====

LiMgCu2 after structural relaxation. Source: the Open Quantum Materials Database, functional GGA-PBE.

abc: 6.0268 6.0268 6.0268
angles: 90.00 90.00 90.00
Positions (direct):
1 Cu 0.2343 0.7657 0.7657
2 Cu 0.2343 0.2343 0.7657
3 Cu 0.7657 0.2343 0.7657
4 Cu 0.7657 0.7657 0.2343
5 Cu 0.2343 0.2343 0.2343
6 Cu 0.7657 0.7657 0.7657
7 Cu 0.2343 0.7657 0.2343
8 Cu 0.7657 0.2343 0.2343
9 Li 0.5000 0.0000 0.0000
10 Li 0.0000 0.0000 0.5000
11 Li 0.0000 0.5000 0.0000
12 Li 0.0000 0.0000 0.0000
13 Mg 0.5000 0.5000 0.5000
14 Mg 0.5000 0.0000 0.5000
15 Mg 0.0000 0.5000 0.5000
16 Mg 0.5000 0.5000 0.0000

=====

LiCd2Pd after structural relaxation. Source: the Open Quantum Materials Database, functional GGA-PBE.

abc: 4.3272 4.3272 3.7126
angles: 90.00 90.00 90.00
Positions (direct):
1 Cd 0.5000 0.0000 0.5000
2 Cd 0.0000 0.5000 0.5000
3 Li 0.0000 0.0000 0.0000
4 Pd 0.5000 0.5000 0.0000

=====

Y3Al3SiNi2 after structural relaxation. Source: the Open Quantum Materials Database, functional GGA-PBE.

abc: 7.8924 7.8924 3.1845
angles: 90.00 90.00 120.00
Positions (direct):
1 Ni 0.3333 0.6667 0.0000
2 Ni 0.6667 0.3333 0.0000
3 Al 0.6322 0.0000 0.5000
4 Al 0.3678 0.3678 0.5000
5 Al 0.0000 0.6322 0.5000
6 Si 0.0000 0.0000 0.5000
7 Y 0.3036 0.0000 0.0000
8 Y 0.0000 0.3036 0.0000
9 Y 0.6964 0.6964 0.0000

Output
- magnetization (μB per formula unit) = 0.01

=====

KLuBe after structural relaxation. Source: the Open Quantum Materials Database, functional GGA-PBE.

abc: 5.0656 5.0656 5.0656
angles: 60.00 60.00 60.00
Positions (direct):
1 K 0.2500 0.2500 0.2500
2 Lu 0.7500 0.7500 0.7500
3 Be 0.0000 0.0000 0.0000

Output
- magnetization (μB per formula unit) = 0.02

=====

FeTeSe after structural relaxation. Source: the Open Quantum Materials Database, functional GGA-PBE.

abc: 3.7425 5.0221 6.0119
angles: 90.00 90.00 90.00
Positions (direct):
1 Te 0.5000 0.0286 0.8651
2 Te 0.0000 0.9714 0.3651
3 Fe 0.0000 0.7356 0.9985
4 Fe 0.5000 0.2644 0.4985
5 Se 0.0000 0.5289 0.6364
6 Se 0.5000 0.4711 0.1364

Output
- magnetization (μB per formula unit) = 0.01

=====

Pa2Re2O5 after structural relaxation. Source: the Open Quantum Materials Database, functional GGA-PBE.

abc: 8.5561 3.7219 3.7219
angles: 90.00 90.00 90.00
Positions (direct):
1 Re 0.5000 0.0000 0.0000
2 Re 0.0000 0.0000 0.0000
3 O 0.6507 0.5000 0.0000
4 O 0.5000 0.5000 0.5000
5 O 0.3493 0.5000 0.0000
6 O 0.6507 0.0000 0.5000
7 O 0.3493 0.0000 0.5000
8 Pa 0.2055 0.5000 0.5000
9 Pa 0.7945 0.5000 0.5000

Output
- magnetization (μB per formula unit) = 0.02

=====

Rb2FeAuBr6 after structural relaxation. Source: the Open Quantum Materials Database, functional GGA-PBE.

abc: 7.5755 7.5755 7.5755
angles: 60.10 60.10 60.10
Positions (direct):
1 Br 0.2852 0.2342 0.7404
2 Br 0.2342 0.7404 0.2852
3 Br 0.7151 0.7655 0.2593
4 Br 0.2593 0.7151 0.7655
5 Br 0.7655 0.2593 0.7151
6 Br 0.7404 0.2852 0.2342
7 Fe 0.5000 0.5000 0.5000
8 Rb 0.7473 0.7473 0.7473
9 Rb 0.2510 0.2510 0.2510
10 Au 0.0000 0.0000 0.0000

Output
- magnetization (μB per formula unit) = 4.14

=====

Tb2SmAl7Cu2 after structural relaxation. Source: the Open Quantum Materials Database, functional GGA-PBE.

abc: 9.1007 9.1007 9.1007
angles: 35.28 35.28 35.28
Positions (direct):
1 Sm 0.0000 0.0000 0.0000
2 Al 0.5818 0.5818 0.0724
3 Al 0.5000 0.5000 0.5000
4 Al 0.0724 0.5818 0.5818
5 Al 0.5818 0.0724 0.5818
6 Al 0.9276 0.4182 0.4182
7 Al 0.4182 0.9276 0.4182
8 Al 0.4182 0.4182 0.9276
9 Cu 0.3353 0.3353 0.3353
10 Cu 0.6647 0.6647 0.6647
11 Tb 0.8581 0.8581 0.8581
12 Tb 0.1419 0.1419 0.1419

Output
- magnetization (μB per formula unit) = 0.01

=====

Uncorrected energy for the records above, in order: -26.05 -52.07 -31.22 -18.30 -44.20 -10.39 -48.71 -6.33 -31.36 -73.62 -32.06 -53.61 eV per cell
Calculated volume for the records above, in order: 14.51 24.90 23.01 26.66 13.68 17.38 19.09 30.64 18.83 13.17 30.81 18.72 Å³/atom